Model a:
Crystalline CaTbZn at its relaxed geometry, computed with PBE.

Values from the calculation:
Spin magnetization ... 0.5 μB per cell

abc: 3.6118 3.6118 13.0033
angles: 90.00 90.00 90.00
Space group I4mm (No. 107)
Symmetry-distinct sites (fractional):
Ca 0.0000 0.0000 0.0000 (multiplicity 2)
Tb 0.0000 0.0000 0.2762 (multiplicity 2)
Zn 0.0000 0.0000 0.6500 (multiplicity 2)

***

Model b:
Crystalline CaTbZn at its relaxed geometry, computed with PBE.

Values from the calculation:
Spin magnetization ... 0.0 μB per cell

abc: 5.0781 5.0781 3.8217
angles: 90.00 90.00 120.00
Space group P3m1 (No. 156)
Symmetry-distinct sites (fractional):
Ca 0.0000 0.0000 0.0000 (multiplicity 1)
Tb 0.6667 0.3333 0.5291 (multiplicity 1)
Zn 0.3333 0.6667 0.3082 (multiplicity 1)

***

Which is most stable, and by how much? model a, by 188 meV/atom.

***

Model a:
Crystalline CaTbZn4 at its relaxed geometry, computed with PBE.

Values from the calculation:
Spin magnetization ... 0.0 μB per cell

abc: 7.7844 7.7844 7.7844
angles: 90.00 90.00 90.00
Space group F-43m (No. 216)
Symmetry-distinct sites (fractional):
Ca 0.0000 0.0000 0.0000 (multiplicity 4)
Tb 0.2500 0.2500 0.7500 (multiplicity 4)
Zn 0.1240 0.1240 0.3760 (multiplicity 16)

***

Model b:
Crystalline CaTbZn4 at its relaxed geometry, computed with PBE.

Values from the calculation:
Spin magnetization ... 0.0 μB per cell

abc: 4.1626 4.1626 15.2608
angles: 90.00 90.00 90.00
Space group I-4m2 (No. 119)
Symmetry-distinct sites (fractional):
Ca 0.0000 0.0000 0.0000 (multiplicity 2)
Tb 0.0000 0.5000 0.7500 (multiplicity 2)
Zn 0.0000 0.0000 0.4169 (multiplicity 4)
Zn 0.0000 0.5000 0.1692 (multiplicity 4)

***

Which is most stable, and by how much? model a, by 8 meV/atom.

***

Model a:
Crystalline Ca2Tc at its relaxed geometry, computed with PBE.

Values from the calculation:
Spin magnetization ... 3.6 μB per cell

abc: 3.4463 3.4463 13.9745
angles: 90.00 90.00 90.00
Space group I4/mmm (No. 139)
Symmetry-distinct sites (fractional):
Ca 0.0000 0.0000 0.1310 (multiplicity 4)
Tc 0.0000 0.0000 0.5000 (multiplicity 2)

***

Model b:
Crystalline Ca2Tc at its relaxed geometry, computed with PBE.

Values from the calculation:
Spin magnetization ... 0.0 μB per cell

abc: 8.9171 8.9171 3.1421
angles: 90.00 90.00 120.00
Space group P-62m (No. 189)
Symmetry-distinct sites (fractional):
Ca 0.0000 0.2976 0.0000 (multiplicity 3)
Ca 0.0000 0.6316 0.5000 (multiplicity 3)
Tc 0.0000 0.0000 0.5000 (multiplicity 1)
Tc 0.3333 0.6667 0.0000 (multiplicity 2)

***

Which is most stable, and by how much? model a, by 56 meV/atom.

***

Model a:
Crystalline Ca5Tc at its relaxed geometry, computed with PBE.

Values from the calculation:
Spin magnetization ... 1.6 μB per cell

abc: 5.0802 14.6611 5.1377
angles: 90.00 90.00 90.00
Space group Cmmm (No. 65)
Symmetry-distinct sites (fractional):
Ca 0.0000 0.0000 0.0000 (multiplicity 2)
Ca 0.0000 0.1447 0.5000 (multiplicity 4)
Ca 0.0000 0.3531 0.0000 (multiplicity 4)
Tc 0.0000 0.5000 0.5000 (multiplicity 2)

***

Model b:
Crystalline Ca5Tc at its relaxed geometry, computed with PBE.

Values from the calculation:
Spin magnetization ... 3.7 μB per cell

abc: 6.6148 6.6148 6.3125
angles: 90.00 90.00 120.00
Space group P6/mmm (No. 191)
Symmetry-distinct sites (fractional):
Ca 0.0000 0.5000 0.0000 (multiplicity 3)
Ca 0.3333 0.6667 0.5000 (multiplicity 2)
Tc 0.0000 0.0000 0.5000 (multiplicity 1)

***

Model c:
Crystalline Ca5Tc at its relaxed geometry, computed with PBE.

Values from the calculation:
Spin magnetization ... 2.1 μB per cell

abc: 13.1429 3.6039 9.4592
angles: 90.00 113.15 90.00
Space group C2/m (No. 12)
Symmetry-distinct sites (fractional):
Ca 0.0000 0.0000 0.0000 (multiplicity 2)
Ca 0.1262 0.5000 0.3749 (multiplicity 4)
Ca 0.1614 0.5000 0.7699 (multiplicity 4)
Tc 0.0000 0.0000 0.5000 (multiplicity 2)

***

Which is most stable, and by how much? model c, by 83 meV/atom.

***

Model a:
Crystalline CaTc4 at its relaxed geometry, computed with PBE.

Values from the calculation:
Spin magnetization ... 0.0 μB per cell

abc: 4.3640 4.3640 9.9884
angles: 90.00 90.00 90.00
Space group I4/mmm (No. 139)
Symmetry-distinct sites (fractional):
Ca 0.0000 0.0000 0.0000 (multiplicity 2)
Tc 0.0000 0.0000 0.3738 (multiplicity 4)
Tc 0.0000 0.5000 0.2500 (multiplicity 4)

***

Model b:
Crystalline CaTc4 at its relaxed geometry, computed with PBE.

Values from the calculation:
Spin magnetization ... 1.2 μB per cell

abc: 4.4895 4.4895 4.4895
angles: 90.00 90.00 90.00
Space group Pm-3m (No. 221)
Symmetry-distinct sites (fractional):
Ca 0.0000 0.0000 0.0000 (multiplicity 1)
Tc 0.0000 0.0000 0.5000 (multiplicity 3)
Tc 0.5000 0.5000 0.5000 (multiplicity 1)

***

Which is most stable, and by how much? model a, by 2498 meV/atom.

***

Model a:
Crystalline CaTc2 at its relaxed geometry, computed with PBE.

Values from the calculation:
Spin magnetization ... 0.0 μB per cell

abc: 3.1423 3.1423 11.6179
angles: 90.00 90.00 90.00
Space group I4/mmm (No. 139)
Symmetry-distinct sites (fractional):
Ca 0.0000 0.0000 0.0000 (multiplicity 2)
Tc 0.0000 0.0000 0.3031 (multiplicity 4)

***

Model b:
Crystalline CaTc2 at its relaxed geometry, computed with PBE.

Values from the calculation:
Spin magnetization ... 0.0 μB per cell

abc: 7.6509 7.6509 7.6509
angles: 90.00 90.00 90.00
Space group Fd-3m (No. 227, origin choice 2)
Symmetry-distinct sites (fractional):
Ca 0.1250 0.1250 0.1250 (multiplicity 8)
Tc 0.0000 0.0000 0.5000 (multiplicity 16)

***

Model c:
Crystalline CaTc2 at its relaxed geometry, computed with PBE.

Values from the calculation:
Spin magnetization ... 0.0 μB per cell

abc: 2.9952 21.6815 4.0391
angles: 90.00 90.00 90.00
Space group Cmcm (No. 63)
Symmetry-distinct sites (fractional):
Ca 0.0000 0.1772 0.2500 (multiplicity 4)
Tc 0.0000 0.0706 0.7500 (multiplicity 4)
Tc 0.0000 0.4634 0.7500 (multiplicity 4)

***

Model d:
Crystalline CaTc2 at its relaxed geometry, computed with PBE.

Values from the calculation:
Spin magnetization ... 0.0 μB per cell

abc: 4.0690 4.0690 4.8813
angles: 90.00 90.00 120.00
Space group P6/mmm (No. 191)
Symmetry-distinct sites (fractional):
Ca 0.0000 0.0000 0.0000 (multiplicity 1)
Tc 0.3333 0.6667 0.5000 (multiplicity 2)

***

Which is most stable, and by how much? model b, by 28 meV/atom.

***

Model a:
Crystalline Ca3Tc4 at its relaxed geometry, computed with PBE.

Values from the calculation:
Spin magnetization ... 0.0 μB per cell

abc: 5.6213 5.6213 4.9378
angles: 90.00 90.00 120.00
Space group P6/mmm (No. 191)
Symmetry-distinct sites (fractional):
Ca 0.0000 0.5000 0.0000 (multiplicity 3)
Tc 0.0000 0.0000 0.2498 (multiplicity 2)
Tc 0.3333 0.6667 0.5000 (multiplicity 2)

***

Model b:
Crystalline Ca3Tc4 at its relaxed geometry, computed with PBE.

Values from the calculation:
Spin magnetization ... 0.0 μB per cell

abc: 3.1973 3.1973 29.5332
angles: 90.00 90.00 90.00
Space group I4/mmm (No. 139)
Symmetry-distinct sites (fractional):
Ca 0.0000 0.0000 0.0000 (multiplicity 2)
Ca 0.0000 0.0000 0.3092 (multiplicity 4)
Tc 0.0000 0.0000 0.1166 (multiplicity 4)
Tc 0.0000 0.0000 0.4237 (multiplicity 4)

***

Which is most stable, and by how much? model b, by 964 meV/atom.

***

Model a:
Crystalline CaTc2Te2 at its relaxed geometry, computed with PBE.

Values from the calculation:
Spin magnetization ... 0.0 μB per cell

abc: 7.8232 7.8232 3.3304
angles: 90.00 90.00 90.00
Space group P4/mbm (No. 127)
Symmetry-distinct sites (fractional):
Ca 0.0000 0.0000 0.0000 (multiplicity 2)
Tc 0.1310 0.3690 0.0000 (multiplicity 4)
Te 0.1615 0.6615 0.5000 (multiplicity 4)

***

Model b:
Crystalline CaTc2Te2 at its relaxed geometry, computed with PBE.

Values from the calculation:
Spin magnetization ... 0.0 μB per cell

abc: 4.4717 4.4717 11.8241
angles: 90.00 90.00 90.00
Space group I4/mmm (No. 139)
Symmetry-distinct sites (fractional):
Ca 0.0000 0.0000 0.0000 (multiplicity 2)
Tc 0.0000 0.5000 0.2500 (multiplicity 4)
Te 0.0000 0.0000 0.3621 (multiplicity 4)

***

Model c:
Crystalline CaTc2Te2 at its relaxed geometry, computed with PBE.

Values from the calculation:
Spin magnetization ... 0.0 μB per cell

abc: 4.9604 4.9604 9.2454
angles: 90.00 90.00 90.00
Space group I4/mmm (No. 139)
Symmetry-distinct sites (fractional):
Ca 0.0000 0.0000 0.0000 (multiplicity 2)
Tc 0.0000 0.0000 0.3761 (multiplicity 4)
Te 0.0000 0.5000 0.2500 (multiplicity 4)

***

Which is most stable, and by how much? model b, by 42 meV/atom.

***

Model a:
Crystalline CaTc3Te at its relaxed geometry, computed with PBE.

Values from the calculation:
Spin magnetization ... 3.3 μB per cell

abc: 4.7327 4.7327 4.7327
angles: 90.00 90.00 90.00
Space group Pm-3m (No. 221)
Symmetry-distinct sites (fractional):
Ca 0.0000 0.0000 0.0000 (multiplicity 1)
Tc 0.0000 0.0000 0.5000 (multiplicity 3)
Te 0.5000 0.5000 0.5000 (multiplicity 1)

***

Model b:
Crystalline CaTc3Te at its relaxed geometry, computed with PBE.

Values from the calculation:
Spin magnetization ... 2.3 μB per cell

abc: 4.9008 4.9008 4.9008
angles: 90.00 90.00 90.00
Space group Pm-3m (No. 221)
Symmetry-distinct sites (fractional):
Ca 0.0000 0.0000 0.0000 (multiplicity 1)
Tc 0.0000 0.5000 0.5000 (multiplicity 3)
Te 0.5000 0.5000 0.5000 (multiplicity 1)

***

Which is most stable, and by how much? model b, by 1193 meV/atom.

***

Model a:
Crystalline Ca2TiTc at its relaxed geometry, computed with PBE.

Values from the calculation:
Spin magnetization ... 0.0 μB per cell

abc: 10.9817 10.9817 4.5129
angles: 90.00 90.00 90.00
Space group I-42d (No. 122)
Symmetry-distinct sites (fractional):
Ca 0.0880 0.2500 0.1250 (multiplicity 8)
Ti 0.0000 0.0000 0.5000 (multiplicity 4)
Tc 0.0000 0.0000 0.0000 (multiplicity 4)

***

Model b:
Crystalline Ca2TiTc at its relaxed geometry, computed with PBE.

Values from the calculation:
Spin magnetization ... 0.0 μB per cell

abc: 7.1341 7.1341 7.1341
angles: 90.00 90.00 90.00
Space group Fm-3m (No. 225)
Symmetry-distinct sites (fractional):
Ca 0.2500 0.2500 0.2500 (multiplicity 8)
Ti 0.0000 0.0000 0.0000 (multiplicity 4)
Tc 0.0000 0.0000 0.5000 (multiplicity 4)

***

Which is most stable, and by how much? model a, by 213 meV/atom.

***

Model a:
Crystalline CaTl2Tc at its relaxed geometry, computed with PBE.

Values from the calculation:
Spin magnetization ... 2.0 μB per cell

abc: 4.6072 4.6072 4.3759
angles: 90.00 90.00 90.00
Space group P4/mmm (No. 123)
Symmetry-distinct sites (fractional):
Ca 0.0000 0.0000 0.0000 (multiplicity 1)
Tl 0.0000 0.5000 0.5000 (multiplicity 2)
Tc 0.5000 0.5000 0.0000 (multiplicity 1)

***

Model b:
Crystalline CaTl2Tc at its relaxed geometry, computed with PBE.

Values from the calculation:
Spin magnetization ... 0.0 μB per cell

abc: 3.6107 3.6107 7.6993
angles: 90.00 90.00 90.00
Space group P4mm (No. 99)
Symmetry-distinct sites (fractional):
Ca 0.0000 0.0000 0.0000 (multiplicity 1)
Tl 0.0000 0.0000 0.4024 (multiplicity 1)
Tl 0.5000 0.5000 0.6791 (multiplicity 1)
Tc 0.5000 0.5000 0.2622 (multiplicity 1)

***

Which is most stable, and by how much? model b, by 14 meV/atom.